[1]
Computed, not measured: TiTlAu3 after structural relaxation at the GGA-PBE level of DFT.

```
5
Lattice="-2.521 2.056 -3.957 1.437 -3.929 -2.957 -4.222 -2.565 1.357" Properties=species:S:1:pos:R:3 pbc="T T T"
Au -1.261 1.028 -1.979
Tl -2.653 -2.219 -2.778
Ti 0.000 0.000 0.000
Au -2.111 -1.283 0.679
Au 0.718 -1.965 -1.478
```

Output
The energy above the lowest structure with this stoichiometry comes out at 0 meV/atom. Its crystal system is cubic. The formation enthalpy at 0 K comes out at 34.2 kJ/mol of atoms.

[2]
Computed, not measured: Cu2GeMoOs after structural relaxation at the GGA-PBE level of DFT.

```
5
Lattice="-2.784 3.121 1.200 -3.004 -1.443 -3.216 -1.794 -2.712 2.891" Properties=species:S:1:pos:R:3 pbc="T T T"
Cu -1.392 1.560 0.600
Ge 0.000 0.000 0.000
Cu -0.897 -1.356 1.446
Os -1.502 -0.721 -1.608
Mo -3.791 -0.517 0.437
```

Output
Its crystal system is tetragonal. The formation enthalpy at 0 K comes out at 123.6 kJ/mol of atoms.

[3]
Computed, not measured: Ca2LaI after structural relaxation at the GGA-PBE level of DFT.

```
4
Lattice="5.224 -1.342 2.630 1.046 -5.590 1.916 3.996 -3.450 -2.852" Properties=species:S:1:pos:R:3 pbc="T T T"
Ca 7.700 -7.786 1.271
I 0.000 0.000 0.000
Ca 2.567 -2.595 0.424
La 5.133 -5.191 0.847
```

Output
The energy above the lowest structure with this stoichiometry comes out at 580 meV/atom. Its crystal system is cubic. The value obtained for the formation energy (no corrections) is 0.07 eV/atom.

[4]
Computed, not measured: Nd5Dy4Y2 after structural relaxation at the GGA-PBE level of DFT.

```
11
Lattice="-5.782 -3.520 0.151 0.800 -8.004 -4.170 2.105 -9.878 2.106" Properties=species:S:1:pos:R:3 pbc="T T T"
Nd -1.271 -8.009 -2.780
Nd 1.452 -8.941 -1.032
Dy -2.102 -16.122 -0.942
Dy -1.991 -9.736 0.391
Dy -0.886 -11.666 -2.304
Nd 1.098 -11.747 0.796
Y -3.877 -6.638 0.376
Y 1.000 -14.763 -2.289
Nd -1.606 -13.393 0.867
Dy -0.775 -5.279 -0.971
Nd -3.975 -9.655 -2.709
```

Output
The energy above the lowest structure with this stoichiometry comes out at 96 meV/atom. Its crystal system is monoclinic. The formation enthalpy at 0 K comes out at 15.9 kJ/mol of atoms.

[5]
Computed, not measured: PrIn3Pt after structural relaxation at the GGA-PBE level of DFT.

```
40
Lattice="-6.992 -5.902 -3.724 6.670 -4.102 -6.022 2.051 -6.776 6.889" Properties=species:S:1:pos:R:3 pbc="T T T"
In -1.908 -2.908 -0.132
In 3.296 -10.727 -2.291
In 1.279 -5.338 -3.049
In 2.583 -9.643 1.328
In 4.103 -7.141 -1.164
Pt 4.793 -9.635 -0.281
Pt -3.063 -7.146 -2.576
In -3.807 -6.305 -5.069
Pr 3.848 -3.745 -1.289
Pt 0.432 -4.195 -0.714
Pt 1.458 -7.583 2.730
In -0.853 -7.138 -4.184
In -3.032 -9.770 3.297
Pr 4.874 -7.133 2.156
Pr -4.218 -7.815 0.652
Pr -1.828 -3.977 -3.367
In 3.485 -3.699 -4.677
Pr 0.865 -8.390 -1.428
In -0.941 -8.120 1.535
Pr 1.507 -6.028 -6.378
Pr -0.722 -4.864 2.513
In -2.373 -9.639 -1.693
In 2.417 -5.249 3.782
In 2.069 -5.890 0.673
Pr 0.000 0.000 0.000
In 7.053 -8.101 -0.403
In 2.671 -8.660 -4.391
In 1.053 -2.203 -2.481
In -1.374 -7.801 -7.265
In 0.450 -11.443 0.192
Pt -2.038 -10.534 0.868
Pt 3.767 -6.246 -3.725
In 1.669 -2.778 1.270
In -4.458 -5.060 -1.490
In -0.339 -10.891 -3.529
Pt 0.272 -9.197 -5.587
In -0.482 -7.618 4.656
In 6.305 -5.629 -2.915
In -1.567 -6.054 -0.566
Pt 1.297 -12.585 -2.143
```

Output
The energy above the lowest structure with this stoichiometry comes out at 0 meV/atom. Its crystal system is cubic. The formation enthalpy at 0 K comes out at -58.0 kJ/mol of atoms.

[6]
Computed, not measured: Dy12Y2Pu after structural relaxation at the GGA-PBE level of DFT.

```
30
Lattice="-2.237 3.296 5.268 3.423 -0.812 5.590 16.835 22.646 -7.020" Properties=species:S:1:pos:R:3 pbc="T T T"
Dy 15.389 20.922 -3.579
Dy 5.513 10.791 2.707
Dy 17.472 18.086 -0.268
Dy 12.799 17.661 0.339
Dy 9.678 16.393 0.970
Dy 0.203 3.649 4.921
Dy 12.132 16.986 3.455
Y 14.829 17.238 -2.675
Dy 14.988 23.535 -1.244
Y 2.600 6.650 1.084
Dy 6.482 9.386 5.811
Dy 12.508 14.339 1.131
Dy 17.818 21.481 -1.083
Y 5.430 4.595 1.244
Dy 11.539 15.744 -1.974
Dy 9.969 19.716 0.178
Pu 1.712 -0.406 2.795
Dy 15.982 22.164 1.850
Dy 2.039 2.965 1.988
Dy 3.034 1.595 5.082
Dy 14.642 20.140 -0.429
Dy 8.343 8.737 2.868
Dy 5.889 8.143 0.383
Dy 2.632 4.208 7.417
Pu -1.119 1.648 2.634
Dy 8.052 5.414 3.660
Dy 3.379 4.990 4.267
Dy 0.549 7.044 4.106
Y 11.998 19.292 -2.836
Dy 5.222 7.469 3.499
```

Output
Its crystal system is orthorhombic. The formation enthalpy at 0 K comes out at 23.9 kJ/mol of atoms.

[7]
Computed, not measured: MnCuNiCl2 after structural relaxation at the GGA-PBE level of DFT.

```
5
Lattice="-2.759 0.797 3.611 0.966 -4.582 1.749 3.589 1.663 2.375" Properties=species:S:1:pos:R:3 pbc="T T T"
Ni 0.898 -1.061 3.868
Mn 0.000 0.000 0.000
Cl 1.795 0.832 1.187
Cu 0.483 -2.291 0.875
Cl -1.379 0.399 1.806
```

Output
Its crystal system is tetragonal. The value obtained for the formation energy (no corrections) is 0.59 eV/atom.

[8]
Computed, not measured: Ho6ThSc3 after structural relaxation at the GGA-PBE level of DFT.

```
20
Lattice="-5.692 -0.919 2.114 1.289 -10.578 -1.127 2.522 5.172 9.039" Properties=species:S:1:pos:R:3 pbc="T T T"
Th 0.977 1.609 7.349
Ho 1.183 -2.367 2.273
Ho -1.664 -0.440 7.221
Ho -0.919 1.681 4.606
Sc 1.279 -0.992 5.427
Ho -2.168 -8.200 5.868
Ho -0.833 -10.139 0.195
Sc -1.855 -5.122 4.114
Sc -4.392 -0.144 4.611
Ho -2.570 3.569 10.397
Ho 1.182 -1.300 8.969
Sc 0.520 -6.502 6.154
Th -2.576 -7.888 2.572
Ho -0.293 -3.510 6.724
Ho -1.575 -1.692 4.063
Sc -2.052 -3.463 9.469
Ho 0.732 -5.731 2.453
Sc -1.819 -3.183 1.296
Ho -4.269 -5.220 1.506
Ho 2.464 -4.186 4.935
```

Output
The energy above the lowest structure with this stoichiometry comes out at 0 meV/atom. Its crystal system is orthorhombic. The formation enthalpy at 0 K comes out at 17.7 kJ/mol of atoms.

Ordered final energy results: -18.32; -28.47; -10.19; -53.36; -176.33; -157.53; -19.78; -104.10; unit eV per cell.
Ordered size of the total moment results: 0.254; 0.582; 0.493; 0.000; 0.000; 0.506; 0.892; 0.000; unit μB/atom.
Ordered ρ results: 10414; 9203; 3760; 6882; 9378; 6908; 3871; 7573; unit kg/m3.